# 1
Density functional theory data (PBE-GGA) for crystalline Mg4Cd2In3 at its relaxed geometry.

Computed properties:
- VASP energy (Ha/atom) = -0.0697

a b c (Å): 5.478 5.478 9.640
angles (deg): 105.48 105.48 48.59
Element x y z (fractional)
1 Mg 0.002 0.002 0.329
2 Mg 0.333 0.333 0.110
3 Mg 0.667 0.667 0.890
4 Mg 0.998 0.998 0.671
5 Cd 0.331 0.331 0.784
6 Cd 0.669 0.669 0.216
7 In 0.000 0.000 0.000
8 In 0.336 0.336 0.440
9 In 0.664 0.664 0.560

# 2
Density functional theory data (PBE-GGA) for crystalline Mg6CdIn at its relaxed geometry.

Computed properties:
- relative energy among the computed polymorphs (eV/atom) = 0.0114
- VASP energy (Ha/atom) = -0.0631

a b c (Å): 6.331 6.331 5.134
angles (deg): 90.00 90.00 120.00
Element x y z (fractional)
1 Mg 0.000 0.500 0.000
2 Mg 0.166 0.332 0.500
3 Mg 0.166 0.834 0.500
4 Mg 0.500 0.000 0.000
5 Mg 0.500 0.500 0.000
6 Mg 0.668 0.834 0.500
7 Cd 0.000 0.000 0.000
8 In 0.667 0.333 0.500

# 3
Density functional theory data (PBE-GGA) for crystalline MgCdIn2 at its relaxed geometry.

Computed properties:
- VASP energy (Ha/atom) = -0.0745

a b c (Å): 5.650 5.650 5.650
angles (deg): 132.77 132.12 69.53
Element x y z (fractional)
1 Mg 0.000 0.000 0.000
2 Cd 0.500 0.500 0.000
3 In 0.250 0.750 0.500
4 In 0.750 0.250 0.500

# 4
Density functional theory data (PBE-GGA) for crystalline Mg2Cd3In4 at its relaxed geometry.

Computed properties:
- VASP energy (Ha/atom) = -0.0699

a b c (Å): 5.610 5.610 9.596
angles (deg): 105.44 105.44 48.43
Element x y z (fractional)
1 Mg 0.166 0.166 0.223
2 Mg 0.834 0.834 0.777
3 Cd 0.171 0.171 0.554
4 Cd 0.500 0.500 0.000
5 Cd 0.829 0.829 0.446
6 In 0.169 0.169 0.889
7 In 0.499 0.499 0.667
8 In 0.501 0.501 0.333
9 In 0.831 0.831 0.111

# 5
Density functional theory data (PBE-GGA) for crystalline Mg2CdIn at its relaxed geometry.

Computed properties:
- VASP energy (Ha/atom) = -0.0644

a b c (Å): 3.242 3.242 8.824
angles (deg): 90.00 90.00 90.24
Element x y z (fractional)
1 Mg 0.000 0.000 0.000
2 Mg 0.500 0.500 0.251
3 Cd 0.000 0.000 0.487
4 In 0.500 0.500 0.750

# 6
Density functional theory data (PBE-GGA) for crystalline Mg2CdIn at its relaxed geometry.

Computed properties:
- VASP energy (Ha/atom) = -0.0662

a b c (Å): 5.425 5.425 5.425
angles (deg): 130.55 130.55 72.54
Element x y z (fractional)
1 Mg 0.250 0.750 0.500
2 Mg 0.750 0.250 0.500
3 Cd 0.000 0.000 0.000
4 In 0.500 0.500 0.000

# 7
Density functional theory data (PBE-GGA) for crystalline MgCdIn6 at its relaxed geometry.

Computed properties:
- relative energy among the computed polymorphs (eV/atom) = 0.0000
- VASP energy (Ha/atom) = -0.0870

a b c (Å): 4.678 4.678 9.404
angles (deg): 90.00 90.00 90.00
Element x y z (fractional)
1 Mg 0.000 0.000 0.000
2 Cd 0.000 0.000 0.500
3 In 0.000 0.500 0.246
4 In 0.000 0.500 0.754
5 In 0.500 0.000 0.246
6 In 0.500 0.000 0.754
7 In 0.500 0.500 0.000
8 In 0.500 0.500 0.500

# 8
Density functional theory data (PBE-GGA) for crystalline Mg7CdIn3 at its relaxed geometry.

Computed properties:
- relative energy among the computed polymorphs (eV/atom) = 0.0000
- VASP energy (Ha/atom) = -0.0697

a b c (Å): 11.977 11.977 13.268
angles (deg): 90.00 90.00 164.21
Element x y z (fractional)
1 Mg 0.019 0.981 0.616
2 Mg 0.019 0.981 0.884
3 Mg 0.131 0.869 0.250
4 Mg 0.155 0.845 0.593
5 Mg 0.155 0.845 0.907
6 Mg 0.287 0.713 0.582
7 Mg 0.287 0.713 0.918
8 Mg 0.713 0.287 0.082
9 Mg 0.713 0.287 0.418
10 Mg 0.845 0.155 0.093
11 Mg 0.845 0.155 0.407
12 Mg 0.869 0.131 0.750
13 Mg 0.981 0.019 0.116
14 Mg 0.981 0.019 0.384
15 Cd 0.407 0.593 0.250
16 Cd 0.593 0.407 0.750
17 In 0.270 0.730 0.250
18 In 0.415 0.585 0.564
19 In 0.415 0.585 0.936
20 In 0.585 0.415 0.064
21 In 0.585 0.415 0.436
22 In 0.730 0.270 0.750

# 9
Density functional theory data (PBE-GGA) for crystalline Mg4Cd9In11 at its relaxed geometry.

Computed properties:
- VASP energy (Ha/atom) = -0.0678

a b c (Å): 14.153 14.153 3.314
angles (deg): 90.00 90.00 115.84
Element x y z (fractional)
1 Mg 0.074 0.263 0.000
2 Mg 0.263 0.074 0.000
3 Mg 0.737 0.926 0.000
4 Mg 0.926 0.737 0.000
5 Cd 0.000 0.000 0.000
6 Cd 0.120 0.677 0.000
7 Cd 0.297 0.471 0.000
8 Cd 0.323 0.880 0.000
9 Cd 0.471 0.297 0.000
10 Cd 0.529 0.703 0.000
11 Cd 0.677 0.120 0.000
12 Cd 0.703 0.529 0.000
13 Cd 0.880 0.323 0.000
14 In 0.096 0.467 0.500
15 In 0.118 0.882 0.500
16 In 0.260 0.260 0.500
17 In 0.323 0.677 0.500
18 In 0.467 0.096 0.500
19 In 0.500 0.500 0.500
20 In 0.533 0.904 0.500
21 In 0.677 0.323 0.500
22 In 0.740 0.740 0.500
23 In 0.882 0.118 0.500
24 In 0.904 0.533 0.500

# 10
Density functional theory data (PBE-GGA) for crystalline Mg8CdIn2 at its relaxed geometry.

Computed properties:
- relative energy among the computed polymorphs (eV/atom) = 0.0482
- VASP energy (Ha/atom) = -0.0641

a b c (Å): 7.949 7.949 5.178
angles (deg): 101.95 101.95 118.43
Element x y z (fractional)
1 Mg 0.095 0.318 0.624
2 Mg 0.212 0.788 0.000
3 Mg 0.318 0.095 0.624
4 Mg 0.392 0.392 0.190
5 Mg 0.608 0.608 0.810
6 Mg 0.682 0.905 0.376
7 Mg 0.788 0.212 0.000
8 Mg 0.905 0.682 0.376
9 Cd 0.000 0.000 0.000
10 In 0.306 0.694 0.500
11 In 0.694 0.306 0.500

# 11
Density functional theory data (PBE-GGA) for crystalline Mg4CdIn3 at its relaxed geometry.

Computed properties:
- relative energy among the computed polymorphs (eV/atom) = 0.0228
- VASP energy (Ha/atom) = -0.0739

a b c (Å): 9.027 6.408 6.411
angles (deg): 90.00 90.00 90.00
Element x y z (fractional)
1 Mg 0.000 0.000 0.000
2 Mg 0.000 0.500 0.000
3 Mg 0.250 0.249 0.250
4 Mg 0.250 0.751 0.750
5 Mg 0.500 0.000 0.500
6 Mg 0.500 0.500 0.500
7 Mg 0.750 0.249 0.250
8 Mg 0.750 0.751 0.750
9 Cd 0.000 0.000 0.500
10 Cd 0.500 0.000 0.000
11 In 0.000 0.500 0.500
12 In 0.250 0.247 0.750
13 In 0.250 0.753 0.250
14 In 0.500 0.500 0.000
15 In 0.750 0.247 0.750
16 In 0.750 0.753 0.250

# 12
Density functional theory data (PBE-GGA) for crystalline Mg8Cd2In at its relaxed geometry.

Computed properties:
- relative energy among the computed polymorphs (eV/atom) = 0.0000
- VASP energy (Ha/atom) = -0.0598

a b c (Å): 8.350 8.350 8.350
angles (deg): 147.28 126.25 64.37
Element x y z (fractional)
1 Mg 0.117 0.342 0.776
2 Mg 0.158 0.158 0.000
3 Mg 0.293 0.000 0.293
4 Mg 0.434 0.658 0.776
5 Mg 0.566 0.342 0.224
6 Mg 0.707 0.000 0.707
7 Mg 0.842 0.842 0.000
8 Mg 0.883 0.658 0.224
9 Cd 0.316 0.816 0.500
10 Cd 0.684 0.184 0.500
11 In 0.000 0.500 0.500

| no. | E_form (eV/atom) | M_tot (μB per formula unit) |
| --- | --- | --- |
| 1 | -0.07 | 0.00 |
| 2 | -0.06 | 0.00 |
| 3 | -0.03 | 0.00 |
| 4 | -0.03 | 0.00 |
| 5 | -0.04 | 0.00 |
| 6 | -0.09 | 0.00 |
| 7 | 0.00 | 0.00 |
| 8 | -0.05 | 0.00 |
| 9 | 0.02 | 0.00 |
| 10 | 0.00 | 0.00 |
| 11 | -0.07 | 0.00 |
| 12 | -0.05 | 0.00 |